[1]
Compound: Sr2RePbO8
Source: Alexandria via LeMat-Bulk
Functional: PBE
Structure: relaxed

```
Sr2RePbO8
1.0
5.2767 -0.1425 -0.0029
-0.1242 5.2822 -0.0057
0.0040 0.0079 7.0736
Sr Re Pb O
2 1 1 8
direct
0.5000 0.5000 0.7553
0.5000 0.5000 0.2447
0.0000 0.0000 0.0000
0.0000 0.0000 0.5000
0.1709 0.8294 0.1970
0.7423 0.7423 0.0000
0.8291 0.1706 0.1970
0.8291 0.1706 0.8030
0.2577 0.2577 0.0000
0.1709 0.8294 0.8030
0.7270 0.7272 0.5000
0.2730 0.2728 0.5000
```

raw total energy = -79.32 eV for the cell shown
ΔE_f (raw) = -1678 meV per atom
size of the total moment = 1.04 μB/f.u.
Fermi-level density of states = 5.0 states/eV per cell

=====

[2]
Compound: TaRe2PbO
Source: Alexandria via LeMat-Bulk
Functional: PBE
Structure: relaxed

```
TaRe2PbO
1.0
-4.6087 -2.1198 0.1985
1.4744 -3.0358 1.8121
-0.8455 2.2565 4.4683
Pb Re O Ta
1 2 1 1
direct
0.5000 0.5000 0.5000
0.0000 0.0000 0.5000
0.5000 0.0000 0.0000
0.0000 0.5000 0.0000
0.0000 0.0000 0.0000
```

raw total energy = -40.67 eV for the cell shown
ΔE_f (raw) = 949 meV per atom
size of the total moment = 2.08 μB/f.u.
Fermi-level density of states = 4.7 states/eV per cell

=====

[3]
Compound: TbRe2PbO8
Source: Alexandria via LeMat-Bulk
Functional: PBE
Structure: relaxed

```
TbRe2PbO8
1.0
-3.8174 0.8742 -4.6001
4.6299 -3.8338 -0.6036
-4.1023 -5.3307 2.3913
Tb Re Pb O
1 2 1 8
direct
0.0000 0.0000 0.5000
0.6667 0.3333 0.2197
0.3333 0.6667 0.7803
0.0000 0.0000 0.0000
0.3333 0.6667 0.0295
0.3297 0.1652 0.2929
0.8348 0.1645 0.2929
0.6667 0.3333 0.9705
0.1652 0.8355 0.7071
0.6703 0.8348 0.7071
0.1645 0.3297 0.7071
0.8355 0.6703 0.2929
```

raw total energy = -93.57 eV for the cell shown
ΔE_f (raw) = -1723 meV per atom
size of the total moment = 3.02 μB/f.u.
Fermi-level density of states = 7.3 states/eV per cell

=====

Look up the ΔE_f (raw) of the first one. -1678 meV per atom

=====

Among the records above, which one has the highest ΔE_f (raw)? TaRe2PbO

=====

Look up the Fermi-level density of states of the first one. 5.0 states/eV per cell

=====

The lowest size of the total moment belongs to which entry? Sr2RePbO8